Compound: K2TlHg9
Source: Alexandria
Functional: PBE
Structure: relaxed

As for the raw total energy: -0.7178 eV/atom. The formation energy comes out at -11 kJ per mole of atoms. Its magnetization is 0.000 μB/f.u. The calculation puts the calculated density at 9.55 Mg/m³. The calculation puts the density of states at the Fermi level at 0.46 states/eV per atom.

The structure belongs to space group R-3m (No. 166, hexagonal axes); the cell edges are 6.4299, 6.4299 and 30.4333 Å and the angles 90.00°, 90.00° and 120.00°. The inequivalent atoms are K at (0.0000, 0.0000, 0.1394), Tl at (0.0000, 0.0000, 0.0000), Hg at (0.0000, 0.0000, 0.3356), Hg at (0.0000, 0.0000, 0.5000) and Hg at (0.0098, 0.5049, 0.9158).